1.
The following is a DFT calculation (PBE) of a relaxed structure of Cr2CuSb.

Results
E in eV/atom: -6.63
Crystal system: tetragonal

a = 4.018 Å, b = 4.018 Å, c = 7.687 Å
α = 90.00°, β = 90.00°, γ = 90.00°
Space group I-4m2 (No. 119)
Asymmetric unit:
Cr (0.000, 0.000, 0.000)
Cr (0.000, 0.500, 0.250)
Cu (0.000, 0.500, 0.750)
Sb (0.000, 0.000, 0.500)

---

2.
The following is a DFT calculation (PBE) of a relaxed structure of AlTl4Br.

Results
E in eV/atom: -2.34
Crystal system: cubic

a = 9.146 Å, b = 9.146 Å, c = 9.146 Å
α = 90.00°, β = 90.00°, γ = 90.00°
Space group F-43m (No. 216)
Asymmetric unit:
Al (0.000, 0.000, 0.000)
Tl (0.125, 0.125, 0.375)
Br (0.250, 0.250, 0.750)

---

3.
The following is a DFT calculation (PBE) of a relaxed structure of CaHg4Pb2.

Results
Energy of formation from the pure elements in eV/atom: -0.1821
Crystal system: monoclinic

a = 8.872 Å, b = 5.220 Å, c = 8.854 Å
α = 90.00°, β = 109.30°, γ = 90.00°
Space group C2/m (No. 12)
Asymmetric unit:
Ca (0.000, 0.000, 0.000)
Hg (0.089, 0.500, 0.772)
Hg (0.228, 0.500, 0.175)
Pb (0.139, 0.000, 0.413)

---

no.,V (Å³ per cell),DOS at the Fermi energy (states/eV/f.u.)
1,124.1,2.0
2,765.1,4.0
3,387.0,3.0